A plane-wave DFT calculation with PBE was carried out for an optimized crystal structure of SrMg3V.

Lattice parameters (Å, degrees): 5.3386 5.3386 5.3386 90.00 90.00 90.00
Space group Pm-3m (No. 221)
Symmetry-distinct sites (fractional):
Sr  0.0000  0.0000  0.0000
Mg  0.0000  0.5000  0.5000
V  0.5000  0.5000  0.5000

Computed properties:
excess energy over the best structure of this formula in the dataset = 0.0000 eV/atom
ρ = 2.31 g cm⁻³